(1)
K2Cd2Hg after structural relaxation, computed with PBE.

## Properties
D(E_F): 0.558 states/eV/atom
offset from the most stable computed form: 6.5 meV/atom

abc: 6.661 6.661 10.990
angles: 108.86 108.86 48.35
Fractional coordinates of all 10 atoms:
K1 0.118 0.118 0.392
K2 0.174 0.174 0.048
K3 0.826 0.826 0.952
K4 0.882 0.882 0.608
Cd1 0.412 0.412 0.359
Cd2 0.484 0.484 0.858
Cd3 0.516 0.516 0.142
Cd4 0.588 0.588 0.641
Hg1 0.212 0.212 0.734
Hg2 0.788 0.788 0.266

---

(2)
K6CdHg4 after structural relaxation, computed with PBE.

## Properties
D(E_F): 0.466 states/eV/atom
DFT total energy: -0.0355 Ha/atom

abc: 11.604 11.604 8.194
angles: 90.00 90.00 120.00
Fractional coordinates of all 22 atoms:
K1 0.051 0.525 0.000
K2 0.134 0.267 0.306
K3 0.134 0.866 0.306
K4 0.267 0.134 0.806
K5 0.475 0.525 0.000
K6 0.475 0.949 0.000
K7 0.525 0.051 0.500
K8 0.525 0.475 0.500
K9 0.733 0.866 0.306
K10 0.866 0.134 0.806
K11 0.866 0.733 0.806
K12 0.949 0.475 0.500
Cd1 0.333 0.667 0.639
Cd2 0.667 0.333 0.139
Hg1 0.191 0.382 0.724
Hg2 0.191 0.809 0.724
Hg3 0.333 0.667 0.274
Hg4 0.382 0.191 0.224
Hg5 0.618 0.809 0.724
Hg6 0.667 0.333 0.774
Hg7 0.809 0.191 0.224
Hg8 0.809 0.618 0.224

---

(3)
K3Cd2Hg4 after structural relaxation, computed with PBE.

## Properties
D(E_F): 0.438 states/eV/atom
DFT total energy: -0.0335 Ha/atom

abc: 6.761 6.761 10.020
angles: 111.12 111.12 45.93
Fractional coordinates of all 9 atoms:
K1 0.000 0.000 0.000
K2 0.365 0.365 0.313
K3 0.635 0.635 0.687
Cd1 0.334 0.334 0.669
Cd2 0.666 0.666 0.331
Hg1 0.087 0.087 0.415
Hg2 0.270 0.270 0.930
Hg3 0.730 0.730 0.070
Hg4 0.913 0.913 0.585

---

(4)
K2Cd15Hg2 after structural relaxation, computed with PBE.

## Properties
D(E_F): 0.325 states/eV/atom
DFT total energy: -0.0342 Ha/atom

abc: 7.891 7.891 7.891
angles: 83.14 83.14 83.14
Fractional coordinates of all 19 atoms:
K1 0.162 0.162 0.162
K2 0.838 0.838 0.838
Cd1 0.000 0.500 0.500
Cd2 0.148 0.148 0.658
Cd3 0.148 0.658 0.148
Cd4 0.200 0.500 0.800
Cd5 0.200 0.800 0.500
Cd6 0.342 0.852 0.852
Cd7 0.500 0.000 0.500
Cd8 0.500 0.200 0.800
Cd9 0.500 0.500 0.000
Cd10 0.500 0.800 0.200
Cd11 0.658 0.148 0.148
Cd12 0.800 0.200 0.500
Cd13 0.800 0.500 0.200
Cd14 0.852 0.342 0.852
Cd15 0.852 0.852 0.342
Hg1 0.398 0.398 0.398
Hg2 0.602 0.602 0.602

---

(5)
K2Cd16Hg after structural relaxation, computed with PBE.

## Properties
D(E_F): 0.276 states/eV/atom
DFT total energy: -0.0354 Ha/atom

abc: 7.882 7.882 7.882
angles: 82.86 82.86 82.86
Fractional coordinates of all 19 atoms:
K1 0.000 0.000 0.000
K2 0.323 0.323 0.323
Cd1 0.014 0.014 0.505
Cd2 0.014 0.505 0.014
Cd3 0.166 0.659 0.659
Cd4 0.310 0.310 0.818
Cd5 0.310 0.818 0.310
Cd6 0.363 0.662 0.960
Cd7 0.363 0.960 0.662
Cd8 0.505 0.014 0.014
Cd9 0.566 0.566 0.566
Cd10 0.659 0.166 0.659
Cd11 0.659 0.659 0.166
Cd12 0.662 0.363 0.960
Cd13 0.662 0.960 0.363
Cd14 0.818 0.310 0.310
Cd15 0.960 0.363 0.662
Cd16 0.960 0.662 0.363
Hg1 0.766 0.766 0.766

---

(6)
K5CdHg4 after structural relaxation, computed with PBE.

## Properties
D(E_F): 0.567 states/eV/atom
offset from the most stable computed form: 0.0 meV/atom

abc: 10.890 10.890 8.930
angles: 110.60 110.60 26.12
Fractional coordinates of all 10 atoms:
K1 0.000 0.000 0.000
K2 0.309 0.309 0.899
K3 0.356 0.356 0.480
K4 0.644 0.644 0.520
K5 0.691 0.691 0.101
Cd1 0.000 0.000 0.500
Hg1 0.130 0.130 0.807
Hg2 0.468 0.468 0.268
Hg3 0.532 0.532 0.732
Hg4 0.870 0.870 0.193

---

(7)
K2Cd7Hg after structural relaxation, computed with PBE.

## Properties
D(E_F): 0.510 states/eV/atom
DFT total energy: -0.0357 Ha/atom

abc: 4.772 4.772 13.019
angles: 90.00 90.00 90.00
Fractional coordinates of all 10 atoms:
K1 0.000 0.500 0.249
K2 0.500 0.000 0.751
Cd1 0.000 0.000 0.000
Cd2 0.000 0.000 0.500
Cd3 0.000 0.500 0.638
Cd4 0.000 0.500 0.860
Cd5 0.500 0.000 0.140
Cd6 0.500 0.000 0.362
Cd7 0.500 0.500 0.500
Hg1 0.500 0.500 0.000

---

(8)
KCdHg5 after structural relaxation, computed with PBE.

## Properties
D(E_F): 0.448 states/eV/atom
offset from the most stable computed form: 0.0 meV/atom

abc: 5.010 5.010 8.525
angles: 90.00 90.00 90.00
Fractional coordinates of all 7 atoms:
K1 0.000 0.000 0.000
Cd1 0.000 0.000 0.500
Hg1 0.000 0.500 0.288
Hg2 0.000 0.500 0.712
Hg3 0.500 0.000 0.288
Hg4 0.500 0.000 0.712
Hg5 0.500 0.500 0.000